Record 1
Cs4BiF | PBE-GGA | relaxed Values from VASP.

Space group: No. 14
Crystal system: monoclinic
Uncorrected formation energy: -1050 meV per atom

Cell and atoms, written as Quantum ESPRESSO input:
```
&SYSTEM
  ibrav = 0, nat = 12, ntyp = 3
/
ATOMIC_SPECIES
Cs 132.91 Cs.upf
F 19.00 F.upf
Bi 208.98 Bi.upf
ATOMIC_POSITIONS crystal
Cs 0.1227 0.8002 0.5503
F 0.5000 0.0000 0.5000
Cs 0.1422 0.4091 0.8872
Bi 0.5000 0.5000 0.0000
Cs 0.6422 0.0909 0.8872
Cs 0.8578 0.5909 0.1128
F 0.0000 0.5000 0.5000
Cs 0.3578 0.9091 0.1128
Cs 0.8773 0.1998 0.4497
Cs 0.6227 0.6998 0.5503
Bi 0.0000 0.0000 0.0000
Cs 0.3773 0.3002 0.4497
CELL_PARAMETERS angstrom
-1.8276 -3.7678 -10.2698
-0.9521 -7.8617 3.0537
-6.4162 1.6433 2.2301
```

Record 2
Cs3BiF6 | PBE-GGA | relaxed Values from VASP.

Space group: No. 71
Crystal system: orthorhombic
Uncorrected formation energy: -2646 meV per atom

Cell and atoms, written as Quantum ESPRESSO input:
```
&SYSTEM
  ibrav = 0, nat = 10, ntyp = 3
/
ATOMIC_SPECIES
Cs 132.91 Cs.upf
F 19.00 F.upf
Bi 208.98 Bi.upf
ATOMIC_POSITIONS crystal
Cs 0.2498 0.2502 0.2502
F 0.2226 0.2231 0.7769
F 0.7774 0.7769 0.2231
F 0.7772 0.2228 0.2228
F 0.2226 0.7769 0.2231
Cs 0.7502 0.7498 0.7498
Cs 0.5000 0.5000 0.5000
F 0.7774 0.2231 0.7769
F 0.2228 0.7772 0.7772
Bi 0.0000 0.0000 0.0000
CELL_PARAMETERS angstrom
7.2326 0.0000 0.0000
3.6163 6.2572 0.0023
3.6163 2.0879 5.8986
```

Record 3
Cs2BiF6 | PBE-GGA | relaxed Values from VASP.

Space group: No. 14
Crystal system: monoclinic
Uncorrected formation energy: -2484 meV per atom
Relative energy among the computed polymorphs: 0 meV per atom

Cell and atoms, written as Quantum ESPRESSO input:
```
&SYSTEM
  ibrav = 0, nat = 18, ntyp = 3
/
ATOMIC_SPECIES
F 19.00 F.upf
Cs 132.91 Cs.upf
Bi 208.98 Bi.upf
ATOMIC_POSITIONS crystal
F 0.2674 0.4746 0.8789
Cs 0.3624 0.1816 0.0553
F 0.3746 0.0633 0.7149
Cs 0.6376 0.8184 0.9447
F 0.7674 0.9746 0.6211
F 0.1625 0.7803 0.0375
Bi 0.5000 0.0000 0.5000
Cs 0.8624 0.6816 0.4447
Cs 0.1376 0.3184 0.5553
Bi 0.0000 0.5000 0.0000
F 0.2326 0.0254 0.3789
F 0.7326 0.5254 0.1211
F 0.6625 0.2803 0.4625
F 0.1254 0.4367 0.2149
F 0.6254 0.9367 0.2851
F 0.8375 0.2197 0.9625
F 0.3375 0.7197 0.5375
F 0.8746 0.5633 0.7851
CELL_PARAMETERS angstrom
-0.9785 -6.8060 0.1748
3.9894 2.4040 6.5627
-7.4457 1.1756 4.0955
```

Record 4
CsBi3F | PBE-GGA | relaxed Values from VASP.

Space group: No. 221
Crystal system: cubic
Uncorrected formation energy: -370 meV per atom
Relative energy among the computed polymorphs: 0 meV per atom

Cell and atoms, written as Quantum ESPRESSO input:
```
&SYSTEM
  ibrav = 0, nat = 5, ntyp = 3
/
ATOMIC_SPECIES
Cs 132.91 Cs.upf
Bi 208.98 Bi.upf
F 19.00 F.upf
ATOMIC_POSITIONS crystal
Cs 0.5000 0.5000 0.5000
Bi 0.0000 0.5000 0.0000
Bi 0.0000 0.0000 0.5000
Bi 0.5000 0.0000 0.0000
F 0.0000 0.0000 0.0000
CELL_PARAMETERS angstrom
5.3746 0.0000 0.0000
0.0000 5.3746 0.0000
0.0000 0.0000 5.3746
```

Record 5
Cs3Bi6F20 | PBE-GGA | relaxed Values from VASP.

Space group: No. 225
Crystal system: cubic
Uncorrected formation energy: -2392 meV per atom

Cell and atoms, written as Quantum ESPRESSO input:
```
&SYSTEM
  ibrav = 0, nat = 29, ntyp = 3
/
ATOMIC_SPECIES
F 19.00 F.upf
Bi 208.98 Bi.upf
Cs 132.91 Cs.upf
ATOMIC_POSITIONS crystal
F 0.6710 0.0000 0.0000
F 0.0000 0.0000 0.3290
F 0.3290 0.0000 0.6710
F 0.6081 0.6081 0.1756
F 0.3290 0.6710 0.0000
Bi 0.2667 0.2667 0.7333
F 0.0000 0.3290 0.0000
Cs 0.0000 0.0000 0.0000
Cs 0.2500 0.2500 0.2500
F 0.0000 0.3290 0.6710
F 0.6081 0.1756 0.6081
F 0.0000 0.0000 0.6710
F 0.3919 0.3919 0.3919
F 0.3919 0.8244 0.3919
Bi 0.7333 0.2667 0.2667
F 0.0000 0.6710 0.0000
Cs 0.7500 0.7500 0.7500
F 0.6710 0.0000 0.3290
F 0.8244 0.3919 0.3919
Bi 0.2667 0.7333 0.7333
Bi 0.7333 0.2667 0.7333
F 0.6081 0.6081 0.6081
F 0.3919 0.3919 0.8244
F 0.3290 0.0000 0.0000
Bi 0.7333 0.7333 0.2667
Bi 0.2667 0.7333 0.2667
F 0.0000 0.6710 0.3290
F 0.1756 0.6081 0.6081
F 0.6710 0.3290 0.0000
CELL_PARAMETERS angstrom
7.6460 0.0000 4.4144
2.5487 7.2087 4.4144
0.0000 0.0000 8.8288
```

Record 6
CsBi3F10 | PBE-GGA | relaxed Values from VASP.

Space group: No. 225
Crystal system: cubic
Uncorrected formation energy: -2544 meV per atom

Cell and atoms, written as Quantum ESPRESSO input:
```
&SYSTEM
  ibrav = 0, nat = 28, ntyp = 3
/
ATOMIC_SPECIES
Bi 208.98 Bi.upf
F 19.00 F.upf
Cs 132.91 Cs.upf
ATOMIC_POSITIONS crystal
Bi 0.2590 0.7410 0.7410
F 0.6105 0.6105 0.1686
F 0.3274 0.0000 0.6726
F 0.8314 0.3895 0.3895
Bi 0.2590 0.2590 0.7410
F 0.0000 0.0000 0.6726
F 0.0000 0.6726 0.3274
F 0.0000 0.0000 0.3274
Bi 0.7410 0.2590 0.2590
F 0.3895 0.3895 0.8314
Bi 0.2590 0.7410 0.2590
Cs 0.2500 0.2500 0.2500
F 0.6105 0.6105 0.6105
F 0.0000 0.3274 0.6726
F 0.1686 0.6105 0.6105
F 0.3895 0.8314 0.3895
F 0.3274 0.6726 0.0000
F 0.6726 0.0000 0.0000
F 0.0000 0.6726 0.0000
F 0.3895 0.3895 0.3895
Bi 0.7410 0.7410 0.2590
Bi 0.7410 0.2590 0.7410
F 0.6726 0.0000 0.3274
F 0.0000 0.3274 0.0000
Cs 0.7500 0.7500 0.7500
F 0.6105 0.1686 0.6105
F 0.3274 0.0000 0.0000
F 0.6726 0.3274 0.0000
CELL_PARAMETERS angstrom
-2.8043 8.0025 1.6759
-8.2370 1.3059 2.2715
-1.9364 2.2919 8.1062
```